# TcBiBr2

An optimized crystal structure of TcBiBr2 (GGA-PBEsol, Alexandria).

a b c (Å): 6.7479 6.7479 6.7479
angles (deg): 98.76 98.76 134.07
Atoms (fractional coordinates):
Tc (0.0000, 0.0000, 0.0000)
Tc (0.7500, 0.2500, 0.5000)
Bi (0.2500, 0.7500, 0.5000)
Bi (0.5000, 0.5000, 0.0000)
Br (0.0026, 0.6250, 0.8776)
Br (0.3750, 0.2526, 0.3776)
Br (0.7474, 0.1250, 0.1224)
Br (0.8750, 0.9974, 0.6224)

space-group type: I-42d
formation energy (no corrections): 0.2233 eV/atom